Entry 1
Pm3RuC4 | PBE | relaxed

Structure (POSCAR):
```
Pm3RuC4
1.0
6.496 -1.872 0.000
6.496 1.872 0.000
-2.112 0.000 6.402
Pm Ru C
3 1 4
Cartesian
0.000 0.000 0.000 Pm
0.998 0.000 4.522 Pm
9.881 0.000 1.880 Pm
5.440 0.000 3.201 Ru
4.607 0.000 0.045 C
5.047 0.000 1.291 C
5.832 0.000 5.111 C
6.272 0.000 6.357 C
```

---

Entry 2
Pm3RuC4 | PBE | relaxed

Structure (POSCAR):
```
Pm3RuC4
1.0
7.332 -1.823 0.000
7.332 1.823 0.000
-1.037 0.000 4.863
Pm Ru C
3 1 4
Cartesian
0.000 0.000 0.000 Pm
1.828 0.000 3.363 Pm
11.798 0.000 1.501 Pm
6.813 0.000 2.432 Ru
4.208 0.000 4.485 C
5.021 0.000 3.417 C
8.605 0.000 1.446 C
9.418 0.000 0.379 C
```

---

Preferred: entry 2; penalty for the next structure: 7.9 kJ/mol of atoms.

---

Entry 1
PmRuC | PBE | relaxed

Structure (POSCAR):
```
PmRuC
1.0
3.405 0.000 0.000
-1.702 2.949 0.000
0.000 0.000 4.919
Pm Ru C
1 1 1
Cartesian
0.000 0.000 0.000 Pm
1.702 0.983 2.585 Ru
0.000 1.966 3.190 C
```

---

Entry 2
PmRuC | PBE | relaxed

Structure (POSCAR):
```
PmRuC
1.0
5.874 0.000 0.000
0.000 3.551 0.000
0.000 0.000 5.219
Pm Ru C
2 2 2
Cartesian
1.468 0.000 1.206 Pm
4.405 0.000 4.013 Pm
1.468 1.775 3.788 Ru
4.405 1.775 1.431 Ru
0.000 1.775 2.609 C
2.937 1.775 2.609 C
```

---

Preferred: entry 2; penalty for the next structure: 2.6 kJ/mol of atoms.

---

Entry 1
Pm2RuC2 | PBE | relaxed

Structure (POSCAR):
```
Pm2RuC2
1.0
6.534 0.000 0.000
0.000 5.323 0.000
0.000 0.000 10.065
Pm Ru C
8 4 8
Cartesian
0.131 1.331 2.188 Pm
1.233 1.331 5.541 Pm
2.034 3.992 0.508 Pm
3.136 3.992 7.220 Pm
3.398 1.331 2.844 Pm
4.500 1.331 9.557 Pm
5.301 3.992 4.524 Pm
6.403 3.992 7.877 Pm
1.492 1.331 8.659 Ru
1.775 3.992 3.627 Ru
4.759 1.331 6.438 Ru
5.043 3.992 1.406 Ru
0.218 3.992 2.460 C
1.192 3.992 5.476 C
2.075 1.331 0.444 C
3.050 1.331 7.493 C
3.485 3.992 2.572 C
4.459 3.992 9.621 C
5.342 1.331 4.589 C
6.317 1.331 7.604 C
```

---

Entry 2
Pm2RuC2 | PBE | relaxed

Structure (POSCAR):
```
Pm2RuC2
1.0
5.348 -2.702 0.000
5.348 2.702 0.000
-2.402 0.000 5.779
Pm Ru C
4 2 4
Cartesian
1.118 0.680 1.217 Pm
-0.083 -0.680 4.106 Pm
8.378 0.680 1.673 Pm
7.177 -0.680 4.562 Pm
4.748 0.437 1.445 Ru
3.547 -0.437 4.334 Ru
3.215 0.957 2.724 C
6.281 0.957 0.166 C
2.014 -0.957 5.613 C
5.080 -0.957 3.055 C
```

---

Preferred: entry 1; penalty for the next structure: 25.4 kJ/mol of atoms.

---

Entry 1
Pm2CS | PBE | relaxed

Structure (POSCAR):
```
Pm2CS
1.0
1.903 1.098 6.772
-1.903 1.098 6.772
0.000 -2.197 6.772
Pm C S
2 1 1
Cartesian
0.000 0.000 0.000 Pm
0.000 0.000 3.921 Pm
0.000 0.000 12.132 C
0.000 0.000 8.708 S
```

---

Entry 2
Pm2CS | PBE | relaxed

Structure (POSCAR):
```
Pm2CS
1.0
3.812 0.000 0.000
0.000 5.558 0.000
0.000 0.000 8.003
Pm C S
4 2 2
Cartesian
0.953 1.389 0.808 Pm
0.953 1.389 5.289 Pm
2.859 4.168 2.714 Pm
2.859 4.168 7.195 Pm
0.953 4.168 0.996 C
2.859 1.389 7.007 C
0.953 4.168 4.976 S
2.859 1.389 3.027 S
```

---

Entry 3
Pm2CS | PBE | relaxed

Structure (POSCAR):
```
Pm2CS
1.0
1.926 1.112 6.569
-1.926 1.112 6.569
0.000 -2.224 6.569
Pm C S
2 1 1
Cartesian
0.000 0.000 4.703 Pm
0.000 0.000 15.005 Pm
0.000 0.000 9.854 C
0.000 0.000 0.000 S
```

---

Preferred: entry 3; penalty for the next structure: 2.8 kJ/mol of atoms.

---

Entry 1
Pm3SbC | PBE | relaxed

Structure (POSCAR):
```
Pm3SbC
1.0
8.248 -2.131 0.000
8.248 2.131 0.000
-1.587 0.000 8.248
Pm Sb C
6 2 2
Cartesian
0.200 0.000 2.739 Pm
1.117 0.000 7.747 Pm
4.747 0.000 3.120 Pm
10.162 0.000 5.128 Pm
13.792 0.000 0.501 Pm
14.710 0.000 5.509 Pm
4.172 0.000 6.379 Sb
10.737 0.000 1.869 Sb
0.617 0.000 5.171 C
14.293 0.000 3.077 C
```

---

Entry 2
Pm3SbC | PBE | relaxed

Structure (POSCAR):
```
Pm3SbC
1.0
5.036 0.000 0.000
0.000 5.036 0.000
0.000 0.000 5.036
Pm Sb C
3 1 1
Cartesian
0.000 0.000 2.518 Pm
0.000 2.518 0.000 Pm
2.518 0.000 0.000 Pm
2.518 2.518 2.518 Sb
0.000 0.000 0.000 C
```

---

Preferred: entry 2; penalty for the next structure: 14.1 kJ/mol of atoms.

---

Entry 1
PmScC | PBE | relaxed

Structure (POSCAR):
```
PmScC
1.0
3.533 0.000 0.000
0.000 4.629 0.000
0.000 0.000 8.044
Pm Sc C
2 2 2
Cartesian
0.883 1.157 1.383 Pm
2.650 3.472 6.661 Pm
0.883 1.157 4.649 Sc
2.650 3.472 3.395 Sc
0.883 3.472 4.922 C
2.650 1.157 3.122 C
```

---

Entry 2
PmScC | PBE | relaxed

Structure (POSCAR):
```
PmScC
1.0
3.490 0.000 0.000
-1.745 3.022 0.000
0.000 0.000 6.192
Pm Sc C
1 1 1
Cartesian
0.000 0.000 0.000 Pm
0.000 2.015 2.620 Sc
1.745 1.007 1.538 C
```

---

Preferred: entry 1; penalty for the next structure: 5.7 kJ/mol of atoms.